A plane-wave DFT calculation with PBE was carried out for a relaxed PmNd2Dy6Ho crystal.

Cell: 9.0340 15.0701 9.7822 Å, 90.00 99.46 90.00°
With the nearest neighbours (Å) after each atom.
Space group C2/c (No. 15)
Inequivalent atoms, fractional coordinates:
1 Pm 0.0000 0.0949 0.2500  8 Dy 3.44-3.75, 2 Nd 3.60
2 Nd 0.2406 0.4486 0.0415  5 Dy 3.28-3.49, 2 Ho 3.33-3.38, 1 Pm 3.60
3 Dy 0.0663 0.3103 0.4431  8 Dy 3.40-3.79, 1 Nd 3.49, 1 Ho 3.65, 1 Pm 3.75
4 Dy 0.1030 0.1042 0.6206  4 Dy 3.24-3.55, 3 Nd 3.28-3.47, 2 Pm 3.44-3.59
5 Dy 0.1971 0.2761 0.8144  3 Dy 3.24-3.61, 1 Nd 3.40, 1 Pm 3.50, 1 Ho 3.59
6 Ho 0.0000 0.4824 0.7500  4 Nd 3.33-3.38, 4 Dy 3.59-3.65

Crystal system = monoclinic
ΔE_f = 0.12 eV/atom

---

A plane-wave DFT calculation with PBE was carried out for a relaxed BeTlRhSe2 crystal.

Cell: 5.4629 5.4629 4.4490 Å, 90.00 90.00 90.00°
With the nearest neighbours (Å) after each atom.
Space group P4/mmm (No. 123)
Inequivalent atoms, fractional coordinates:
1 Be 0.0000 0.0000 0.0000  2 Tl 2.22
2 Tl 0.0000 0.0000 0.5000  2 Be 2.22
3 Rh 0.5000 0.5000 0.0000  8 Se 3.52, 4 Be 3.86
4 Se 0.0000 0.5000 0.5000  2 Tl 2.73

Raw formation energy = 1321 meV/atom
Crystal system = tetragonal

---

A plane-wave DFT calculation with PBE was carried out for a relaxed Pm4GePbN crystal.

Cell: 6.8323 16.1400 6.8409 Å, 90.00 90.00 90.00°
With the nearest neighbours (Å) after each atom.
Space group Cmcm (No. 63)
Inequivalent atoms, fractional coordinates:
1 Pm 0.0000 0.0810 0.2500  1 N 2.68
2 Pm 0.0000 0.4091 0.2500  1 N 2.61
3 Pm 0.2500 0.2500 0.0000  2 N 2.42
4 Ge 0.0000 0.1143 0.7500  9 Pm 3.15-3.46
5 Pb 0.0000 0.3948 0.7500  9 Pm 3.17-3.44
6 N 0.0000 0.2472 0.2500  6 Pm 2.42-2.68

Raw formation energy = -821 meV/atom
Crystal system = orthorhombic

---

A plane-wave DFT calculation with PBE was carried out for a relaxed DyHoTm3Th crystal.

Cell: 21.7471 5.3795 6.6531 Å, 90.00 99.02 90.00°
With the nearest neighbours (Å) after each atom.
Space group C2/m (No. 12)
Inequivalent atoms, fractional coordinates:
1 Dy 0.1694 0.0000 0.0214  1 Ho 3.15, 6 Tm 3.19-3.45
2 Ho 0.1315 0.0000 0.4586  1 Dy 3.15, 4 Tm 3.28-3.36, 2 Th 3.45
3 Tm 0.0268 0.0000 0.7731  1 Dy 3.28, 2 Ho 3.33-3.54, 2 Tm 3.40-3.64, 2 Th 3.43
4 Tm 0.1641 0.5000 0.7604  2 Dy 3.19, 2 Ho 3.36, 1 Tm 3.44
5 Tm 0.2236 0.5000 0.3105  3 Ho 3.28-3.58, 1 Th 3.38, 3 Dy 3.41-3.45, 1 Tm 3.44
6 Th 0.0672 0.5000 0.1752  4 Tm 3.38-3.73, 1 Th 3.44, 2 Ho 3.45, 2 Dy 3.73

Crystal system = monoclinic
ΔE_f = 0.20 eV/atom

---

A plane-wave DFT calculation with PBE was carried out for a relaxed MnBeSe2 crystal.

Cell: 3.4016 6.9710 7.8305 Å, 90.00 90.00 90.00°
With the nearest neighbours (Å) after each atom.
Space group Immm (No. 71)
Inequivalent atoms, fractional coordinates:
1 Mn 0.0000 0.0000 0.0000  4 Se 2.56
2 Be 0.0000 0.5000 0.0000  4 Se 2.31
3 Se 0.0000 0.2248 0.5000  2 Be 2.31, 2 Mn 2.56

Raw formation energy = -39 meV/atom
Crystal system = orthorhombic

---

A plane-wave DFT calculation with PBE was carried out for a relaxed Tm4Al2H crystal.

Cell: 4.4569 4.4569 16.1387 Å, 90.00 90.00 90.00°
With the nearest neighbours (Å) after each atom.
Space group I4/mmm (No. 139)
Inequivalent atoms, fractional coordinates:
1 Tm 0.0000 0.0000 0.1774  1 H 2.86, 1 Al 3.06
2 Tm 0.0000 0.5000 0.0000  2 H 2.23
3 Al 0.0000 0.0000 0.3671  9 Tm 3.06-3.23
4 H 0.0000 0.0000 0.0000  4 Tm 2.23

Energy = -61.16 eV for the cell shown
Crystal system = tetragonal

---

A plane-wave DFT calculation with PBE was carried out for a relaxed Tb2HfZr crystal.

Cell: 4.6743 4.6743 4.8424 Å, 90.00 90.00 90.00°
With the nearest neighbours (Å) after each atom.
Space group P4/mmm (No. 123)
Inequivalent atoms, fractional coordinates:
1 Tb 0.0000 0.5000 0.0000  4 Tb 3.31, 4 Zr 3.37, 4 Hf 3.37
2 Hf 0.0000 0.0000 0.5000  4 Zr 3.31, 8 Tb 3.37
3 Zr 0.5000 0.5000 0.5000  4 Hf 3.31, 8 Tb 3.37

ΔE to the lowest computed polymorph = 9 meV/atom
Crystal system = tetragonal
ΔE_f = 0.17 eV/atom

---

A plane-wave DFT calculation with PBE was carried out for a relaxed Sr2PmTe4 crystal.

Cell: 4.3968 16.1286 15.0449 Å, 90.00 90.00 90.00°
With the nearest neighbours (Å) after each atom.
Space group Cmcm (No. 63)
Inequivalent atoms, fractional coordinates:
1 Sr 0.0000 0.1332 0.0736  6 Te 3.27-3.34
2 Pm 0.0000 0.3727 0.2500  6 Te 3.16-3.23
3 Te 0.0000 0.0131 0.2500  2 Pm 3.16, 2 Sr 3.28
4 Te 0.0000 0.2187 0.6265  2 Pm 3.23, 3 Sr 3.31-3.34
5 Te 0.0000 0.5000 0.0000  4 Sr 3.27

Raw formation energy = -1347 meV/atom
Crystal system = orthorhombic